Version A
Material: Al2ZnI
Method: DFT, meta-GGA SCAN
State: PBEsol geometry

Output
N(E_F)   0.460 states/eV per atom
M_tot   0.00 μB/f.u.

Unit cell a=7.0514 b=7.0514 c=7.0514 alpha=90.00 beta=90.00 gamma=90.00
Closest atoms and distances in Å follow each position.
Space group Fm-3m (No. 225)
Asymmetric unit:
Al 0.2500 0.2500 0.2500 [8 per cell]  4 I 3.05, 4 Zn 3.05
Zn 0.0000 0.0000 0.0000 [4 per cell]  8 Al 3.05
I 0.0000 0.0000 0.5000 [4 per cell]  8 Al 3.05

Version B
Material: Al2ZnI
Method: DFT, meta-GGA SCAN
State: PBEsol geometry

Output
N(E_F)   0.757 states/eV per atom
M_tot   0.00 μB/f.u.

Unit cell a=5.9492 b=5.9492 c=13.1166 alpha=90.00 beta=90.00 gamma=90.00
Closest atoms and distances in Å follow each position.
Space group I-42d (No. 122)
Asymmetric unit:
Al 0.1628 0.2500 0.1250 [8 per cell]  2 Zn 2.42
Zn 0.0000 0.0000 0.0000 [4 per cell]  4 Al 2.42
I 0.0000 0.0000 0.5000 [4 per cell]  4 Al 2.99

version B has the most favorable energy; the next structure is 0.272 eV/atom above.

Version A
Material: Al5In
Method: DFT, meta-GGA SCAN
State: PBEsol geometry

Output
N(E_F)   0.393 states/eV per atom
M_tot   0.03 μB/f.u.

Unit cell a=4.1034 b=12.6391 c=4.1043 alpha=90.00 beta=90.00 gamma=90.00
Closest atoms and distances in Å follow each position.
Space group Cmmm (No. 65)
Asymmetric unit:
Al 0.0000 0.0000 0.0000 [2 per cell]  4 In 2.90, 8 Al 3.00
Al 0.0000 0.1729 0.5000 [4 per cell]  10 Al 2.83-3.00, 2 In 3.00
Al 0.0000 0.3271 0.0000 [4 per cell]  10 Al 2.83-3.00, 2 In 3.00
In 0.0000 0.5000 0.5000 [2 per cell]  12 Al 2.90-3.00

Version B
Material: Al5In
Method: DFT, meta-GGA SCAN
State: PBEsol geometry

Output
N(E_F)   0.446 states/eV per atom
M_tot   0.03 μB/f.u.

Unit cell a=4.6776 b=2.9288 c=15.8179 alpha=90.00 beta=90.00 gamma=90.00
Closest atoms and distances in Å follow each position.
Space group Amm2 (No. 38)
Asymmetric unit:
Al 0.0000 0.0000 0.0000 [2 per cell]  6 Al 2.84-2.93, 4 In 2.98
Al 0.0000 0.0000 0.3117 [2 per cell]  8 Al 2.88-2.93, 2 In 2.99
Al 0.0000 0.0000 0.6540 [2 per cell]  12 Al 2.84-2.93
Al 0.5000 0.0000 0.1064 [2 per cell]  10 Al 2.82-2.93
Al 0.5000 0.0000 0.7586 [2 per cell]  10 Al 2.82-2.93, 2 In 3.07
In 0.5000 0.0000 0.4292 [2 per cell]  2 In 2.93, 10 Al 2.98-3.16

version A has the most favorable energy; the next structure is 0.035 eV/atom above.

Version A
Material: Mg16Al12In
Method: DFT, meta-GGA SCAN
State: PBEsol geometry

Output
N(E_F)   0.330 states/eV per atom
M_tot   0.00 μB/f.u.

Unit cell a=10.4769 b=14.6991 c=9.0289 alpha=90.00 beta=124.26 gamma=90.00
Closest atoms and distances in Å follow each position.
Space group Cm (No. 8)
Asymmetric unit:
Mg 0.0000 0.0000 0.0000 [2 per cell]  4 Mg 3.12-3.17, 12 Al 3.13-3.24
Mg 0.0002 0.0000 0.3455 [2 per cell]  4 Mg 3.03-3.12, 6 Al 3.07-3.11
Mg 0.0579 0.3436 0.4002 [4 per cell]  5 Al 2.87-3.19, 7 Mg 3.04-3.15
Mg 0.1566 0.1591 0.5999 [4 per cell]  5 Al 2.86-3.17, 5 Mg 3.03-3.17, 1 In 3.12
Mg 0.1579 0.5000 0.6638 [2 per cell]  3 Mg 3.04-3.13, 1 In 3.04, 6 Al 3.06-3.10
Mg 0.1729 0.1753 0.9948 [4 per cell]  4 Mg 3.02-3.17, 6 Al 3.06-3.12
Mg 0.1869 0.5000 0.2893 [2 per cell]  5 Al 2.90-3.13, 7 Mg 3.03-3.14
Mg 0.3009 0.2989 0.3181 [4 per cell]  5 Al 2.88-3.12, 7 Mg 3.03-3.19
Mg 0.4615 0.1400 0.0015 [4 per cell]  5 Al 2.88-3.18, 5 Mg 3.03-3.19, 1 In 3.11
Mg 0.4852 0.1962 0.6836 [4 per cell]  5 Al 2.91-3.17, 6 Mg 3.02-3.14, 1 In 3.10
Al 0.0042 0.1850 0.1872 [4 per cell]  3 Al 2.67-2.77, 3 Mg 2.87-2.97
Al 0.1812 0.0000 0.8186 [2 per cell]  3 Al 2.69-2.74, 1 In 2.88, 2 Mg 2.98
Al 0.2304 0.4082 0.0073 [4 per cell]  3 Al 2.70-2.74, 3 Mg 2.88-3.01
Al 0.2717 0.0942 0.3589 [4 per cell]  3 Al 2.67-2.77, 2 Mg 2.91-2.95, 1 In 2.98
Al 0.3174 0.3147 0.8166 [4 per cell]  3 Al 2.69-2.77, 3 Mg 2.86-2.98
Al 0.3682 0.0000 0.1780 [2 per cell]  3 Al 2.69-2.73, 3 Mg 2.90-2.96
Al 0.4073 0.4067 0.6330 [4 per cell]  3 Al 2.69-2.74, 3 Mg 2.88-2.96
In 0.3895 0.0000 0.7055 [2 per cell]  3 Al 2.88-2.98, 7 Mg 3.04-3.12

Version B
Material: Mg16Al12In
Method: DFT, meta-GGA SCAN
State: PBEsol geometry

Output
N(E_F)   0.277 states/eV per atom
M_tot   0.00 μB/f.u.

Unit cell a=10.4908 b=10.4908 c=10.4908 alpha=90.00 beta=90.00 gamma=90.00
Closest atoms and distances in Å follow each position.
Space group I-43m (No. 217)
Asymmetric unit:
Mg 0.0428 0.3576 0.3576 [24 per cell]  5 Al 2.88-3.14, 7 Mg 3.03-3.16
Mg 0.1718 0.1718 0.8282 [8 per cell]  3 Mg 3.03, 6 Al 3.10, 1 In 3.12
Al 0.0917 0.0917 0.2781 [24 per cell]  3 Al 2.72-2.77, 3 Mg 2.88-2.96
In 0.0000 0.0000 0.0000 [2 per cell]  4 Mg 3.12, 12 Al 3.22

version A has the most favorable energy; the next structure is 0.018 eV/atom above.

Version A
Material: Al2InP
Method: DFT, meta-GGA SCAN
State: PBEsol geometry

Output
N(E_F)   0.331 states/eV per atom
M_tot   0.00 μB/f.u.

Unit cell a=3.4640 b=4.1456 c=10.4493 alpha=90.00 beta=90.00 gamma=90.00
Closest atoms and distances in Å follow each position.
Space group Imm2 (No. 44)
Asymmetric unit:
Al 0.0000 0.0000 0.0000 [2 per cell]  4 P 2.71, 2 Al 2.91, 2 In 3.00
Al 0.0000 0.5000 0.1953 [2 per cell]  2 P 2.50
In 0.0000 0.5000 0.7928 [2 per cell]  6 Al 2.89-3.00, 2 P 2.96
P 0.0000 0.0000 0.5226 [2 per cell]  6 Al 2.50-2.71

Version B
Material: Al2InP
Method: DFT, meta-GGA SCAN
State: PBEsol geometry

Output
N(E_F)   0.329 states/eV per atom
M_tot   0.00 μB/f.u.

Unit cell a=9.0056 b=3.5359 c=5.2497 alpha=90.00 beta=110.79 gamma=90.00
Closest atoms and distances in Å follow each position.
Space group Cm (No. 8)
Asymmetric unit:
Al 0.0000 0.0000 0.0000 [2 per cell]  3 P 2.59-2.67, 1 Al 2.82
Al 0.1410 0.0000 0.5733 [2 per cell]  2 P 2.43, 1 In 2.70
In 0.3740 0.0000 0.3608 [2 per cell]  3 Al 2.70-2.87, 2 P 2.92
P 0.1987 0.5000 0.9128 [2 per cell]  5 Al 2.43-2.67

version B has the most favorable energy; the next structure is 0.052 eV/atom above.

Version A
Material: AlIn2Pb
Method: DFT, meta-GGA SCAN
State: PBEsol geometry

Output
N(E_F)   0.420 states/eV per atom
M_tot   0.00 μB/f.u.

Unit cell a=11.7964 b=3.2370 c=5.5447 alpha=90.00 beta=111.64 gamma=90.00
Closest atoms and distances in Å follow each position.
Space group C2/m (No. 12)
Asymmetric unit:
Al 0.0000 0.0000 0.0000 [2 per cell]  4 In 2.99, 4 Pb 3.21, 2 Al 3.24
In 0.2277 0.5000 0.2300 [4 per cell]  2 Al 2.99, 6 In 3.22-3.27
Pb 0.0000 0.5000 0.5000 [2 per cell]  4 Al 3.21, 2 Pb 3.24, 6 In 3.41-3.52

Version B
Material: AlIn2Pb
Method: DFT, meta-GGA SCAN
State: PBEsol geometry

Output
N(E_F)   0.394 states/eV per atom
M_tot   0.00 μB/f.u.

Unit cell a=3.3409 b=3.3409 c=30.5911 alpha=90.00 beta=90.00 gamma=120.00
Closest atoms and distances in Å follow each position.
Space group R-3m (No. 166, hexagonal axes)
Asymmetric unit:
Al 0.0000 0.0000 0.0000 [3 per cell]  6 In 2.98
In 0.0000 0.0000 0.2592 [6 per cell]  3 Al 2.98
Pb 0.0000 0.0000 0.5000 [3 per cell]  6 Pb 3.34, 6 In 3.43

Version C
Material: AlIn2Pb
Method: DFT, meta-GGA SCAN
State: PBEsol geometry

Output
N(E_F)   0.482 states/eV per atom
M_tot   0.00 μB/f.u.

Unit cell a=3.5057 b=5.3720 c=10.5141 alpha=90.00 beta=90.00 gamma=90.00
Closest atoms and distances in Å follow each position.
Space group Imm2 (No. 44)
Asymmetric unit:
Al 0.0000 0.0000 0.0000 [2 per cell]  6 In 2.93-3.21, 2 Pb 3.06
In 0.0000 0.0000 0.4847 [2 per cell]  4 Al 3.21, 4 In 3.26-3.51, 4 Pb 3.39-3.57
In 0.0000 0.5000 0.7233 [2 per cell]  2 Al 2.93, 4 Pb 3.23, 2 In 3.26
Pb 0.0000 0.5000 0.2612 [2 per cell]  2 Al 3.06, 6 In 3.23-3.39

version B has the most favorable energy; the next structure is 0.027 eV/atom above.

Version A
Material: Al2InPb
Method: DFT, meta-GGA SCAN
State: PBEsol geometry

Output
N(E_F)   0.416 states/eV per atom
M_tot   0.00 μB/f.u.

Unit cell a=4.7355 b=4.7355 c=8.0519 alpha=90.00 beta=90.00 gamma=90.00
Closest atoms and distances in Å follow each position.
Space group I4/mmm (No. 139)
Asymmetric unit:
Al 0.0000 0.5000 0.2500 [4 per cell]  4 In 3.11, 4 Pb 3.11, 4 Al 3.35
In 0.0000 0.0000 0.0000 [2 per cell]  8 Al 3.11, 4 Pb 3.35
Pb 0.0000 0.0000 0.5000 [2 per cell]  8 Al 3.11, 4 In 3.35

Version B
Material: Al2InPb
Method: DFT, meta-GGA SCAN
State: PBEsol geometry

Output
N(E_F)   0.448 states/eV per atom
M_tot   0.00 μB/f.u.

Unit cell a=3.2981 b=4.0658 c=6.7383 alpha=90.00 beta=90.00 gamma=90.00
Closest atoms and distances in Å follow each position.
Space group Pmmm (No. 47)
Asymmetric unit:
Al 0.0000 0.0000 0.2227 [2 per cell]  3 Al 3.00-3.30, 4 In 3.02, 4 Pb 3.22
In 0.5000 0.5000 0.0000 [1 per cell]  8 Al 3.02, 2 In 3.30, 2 Pb 3.37
Pb 0.5000 0.5000 0.5000 [1 per cell]  8 Al 3.22, 2 Pb 3.30, 2 In 3.37

version B has the most favorable energy; the next structure is 0.016 eV/atom above.

Version A
Material: AlIn3S
Method: DFT, meta-GGA SCAN
State: PBEsol geometry

Output
N(E_F)   0.315 states/eV per atom
M_tot   0.00 μB/f.u.

Unit cell a=5.1773 b=5.1773 c=5.1773 alpha=90.00 beta=90.00 gamma=90.00
Closest atoms and distances in Å follow each position.
Space group Pm-3m (No. 221)
Asymmetric unit:
Al 0.0000 0.0000 0.0000 [1 per cell]  6 In 2.59
In 0.0000 0.0000 0.5000 [3 per cell]  2 Al 2.59
S 0.5000 0.5000 0.5000 [1 per cell]  12 In 3.66

Version B
Material: AlIn3S
Method: DFT, meta-GGA SCAN
State: PBEsol geometry

Output
N(E_F)   0.665 states/eV per atom
M_tot   0.00 μB/f.u.

Unit cell a=5.1606 b=5.1606 c=5.1606 alpha=90.00 beta=90.00 gamma=90.00
Closest atoms and distances in Å follow each position.
Space group Pm-3m (No. 221)
Asymmetric unit:
Al 0.0000 0.0000 0.0000 [1 per cell]  12 In 3.65
In 0.0000 0.5000 0.5000 [3 per cell]  2 S 2.58
S 0.5000 0.5000 0.5000 [1 per cell]  6 In 2.58

version A has the most favorable energy; the next structure is 0.223 eV/atom above.

Version A
Material: AlInSb
Method: DFT, meta-GGA SCAN
State: PBEsol geometry

Output
N(E_F)   0.458 states/eV per atom
M_tot   0.00 μB/f.u.

Unit cell a=3.2336 b=3.6861 c=11.7062 alpha=90.00 beta=90.00 gamma=90.00
Closest atoms and distances in Å follow each position.
Space group Imm2 (No. 44)
Asymmetric unit:
Al 0.0000 0.0000 0.0000 [2 per cell]  4 Sb 2.96, 4 In 3.09, 2 Al 3.23
In 0.0000 0.0000 0.3398 [2 per cell]  4 Al 3.09, 2 In 3.23, 4 Sb 3.38
Sb 0.0000 0.0000 0.6416 [2 per cell]  4 Al 2.96, 2 Sb 3.23

Version B
Material: AlInSb
Method: DFT, meta-GGA SCAN
State: PBEsol geometry

Output
N(E_F)   0.511 states/eV per atom
M_tot   0.00 μB/f.u.

Unit cell a=3.1988 b=3.1988 c=7.9147 alpha=90.00 beta=90.00 gamma=120.00
Closest atoms and distances in Å follow each position.
Space group P3m1 (No. 156)
Asymmetric unit:
Al 0.0000 0.0000 0.0000 [1 per cell]  3 Sb 3.03, 3 In 3.09, 6 Al 3.20
In 0.3333 0.6667 0.6867 [1 per cell]  3 Al 3.09, 6 In 3.20
Sb 0.6667 0.3333 0.3031 [1 per cell]  3 Al 3.03, 6 Sb 3.20

Version C
Material: AlInSb
Method: DFT, meta-GGA SCAN
State: PBEsol geometry

Output
N(E_F)   0.546 states/eV per atom
M_tot   0.00 μB/f.u.

Unit cell a=6.9182 b=6.9182 c=6.9182 alpha=90.00 beta=90.00 gamma=90.00
Closest atoms and distances in Å follow each position.
Space group F-43m (No. 216)
Asymmetric unit:
Al 0.0000 0.0000 0.0000 [4 per cell]  4 In 3.00
In 0.2500 0.2500 0.2500 [4 per cell]  4 Sb 3.00, 4 Al 3.00
Sb 0.0000 0.0000 0.5000 [4 per cell]  4 In 3.00

version A has the most favorable energy; the next structure is 0.049 eV/atom above.

Version A
Material: AlInSb2
Method: DFT, meta-GGA SCAN
State: PBEsol geometry

Output
M_tot   0.00 μB/f.u.

Unit cell a=4.4796 b=4.4796 c=21.9520 alpha=90.00 beta=90.00 gamma=120.00
Closest atoms and distances in Å follow each position.
Space group R3m (No. 160, hexagonal axes)
Asymmetric unit:
Al 0.0000 0.0000 0.0000 [3 per cell]  4 Sb 2.66-2.71
In 0.0000 0.0000 0.5011 [3 per cell]  4 Sb 2.78-2.82
Sb 0.0000 0.0000 0.1213 [3 per cell]  1 Al 2.66, 3 In 2.78
Sb 0.0000 0.0000 0.6295 [3 per cell]  3 Al 2.71, 1 In 2.82

Version B
Material: AlInSb2
Method: DFT, meta-GGA SCAN
State: PBEsol geometry

Output
M_tot   0.00 μB/f.u.

Unit cell a=4.4786 b=4.4786 c=6.3333 alpha=90.00 beta=90.00 gamma=90.00
Closest atoms and distances in Å follow each position.
Space group P-4m2 (No. 115)
Asymmetric unit:
Al 0.0000 0.0000 0.0000 [1 per cell]  4 Sb 2.69
In 0.5000 0.5000 0.5000 [1 per cell]  4 Sb 2.80
Sb 0.0000 0.5000 0.2340 [2 per cell]  2 Al 2.69, 2 In 2.80

version B has the most favorable energy; the next structure is 0.006 eV/atom above.

Version A
Material: AlInSb2
Method: DFT, meta-GGA SCAN
State: PBEsol geometry

Output
N(E_F)   0.514 states/eV per atom
M_tot   0.00 μB/f.u.

Unit cell a=3.7944 b=4.6727 c=10.9814 alpha=90.00 beta=90.00 gamma=90.00
Closest atoms and distances in Å follow each position.
Space group Immm (No. 71)
Asymmetric unit:
Al 0.0000 0.0000 0.0000 [2 per cell]  4 Sb 2.92, 4 In 3.01
In 0.0000 0.0000 0.5000 [2 per cell]  4 Al 3.01, 4 Sb 3.23
Sb 0.0000 0.5000 0.2974 [4 per cell]  2 Al 2.92, 4 Sb 3.18, 2 In 3.23

Version B
Material: AlInSb2
Method: DFT, meta-GGA SCAN
State: PBEsol geometry

Output
N(E_F)   0.532 states/eV per atom
M_tot   0.00 μB/f.u.

Unit cell a=7.0847 b=4.0908 c=7.3694 alpha=90.00 beta=108.78 gamma=90.00
Closest atoms and distances in Å follow each position.
Space group C2/m (No. 12)
Asymmetric unit:
Al 0.0000 0.0000 0.0000 [2 per cell]  6 Sb 2.83
In 0.0000 0.5000 0.5000 [2 per cell]  6 Sb 3.04-3.05
Sb 0.2420 0.5000 0.2244 [4 per cell]  3 Al 2.83, 3 In 3.04-3.05

version B has the most favorable energy; the next structure is 0.138 eV/atom above.

Version A
Material: AlInSb2
Method: DFT, meta-GGA SCAN
State: PBEsol geometry

Output
N(E_F)   0.442 states/eV per atom
M_tot   0.00 μB/f.u.

Unit cell a=3.9653 b=4.1151 c=12.3602 alpha=90.00 beta=90.00 gamma=90.00
Closest atoms and distances in Å follow each position.
Space group Imm2 (No. 44)
Asymmetric unit:
Al 0.0000 0.0000 0.0000 [2 per cell]  6 Sb 2.88-2.92
In 0.0000 0.5000 0.7359 [2 per cell]  6 Sb 3.08-3.09
Sb 0.0000 0.0000 0.5502 [2 per cell]  4 Al 2.92, 2 In 3.08
Sb 0.0000 0.5000 0.3311 [2 per cell]  2 Al 2.88, 4 In 3.09

Version B
Material: AlInSb2
Method: DFT, meta-GGA SCAN
State: PBEsol geometry

Output
N(E_F)   0.712 states/eV per atom
M_tot   0.00 μB/f.u.

Unit cell a=7.3112 b=7.3112 c=7.3112 alpha=90.00 beta=90.00 gamma=90.00
Closest atoms and distances in Å follow each position.
Space group F-43m (No. 216)
Asymmetric unit:
Al 0.0000 0.0000 0.0000 [4 per cell]  4 In 3.17, 4 Sb 3.17
In 0.2500 0.2500 0.2500 [4 per cell]  4 Sb 3.17, 4 Al 3.17
Sb 0.0000 0.0000 0.5000 [4 per cell]  4 In 3.17, 4 Sb 3.17
Sb 0.2500 0.2500 0.7500 [4 per cell]  4 Sb 3.17, 4 Al 3.17

Version C
Material: AlInSb2
Method: DFT, meta-GGA SCAN
State: PBEsol geometry

Output
M_tot   0.00 μB/f.u.

Unit cell a=6.3337 b=6.3337 c=12.6479 alpha=90.00 beta=90.00 gamma=90.00
Closest atoms and distances in Å follow each position.
Space group I-42d (No. 122)
Asymmetric unit:
Al 0.0000 0.0000 0.0000 [4 per cell]  4 Sb 2.67
In 0.0000 0.0000 0.5000 [4 per cell]  4 Sb 2.82
Sb 0.2301 0.2500 0.1250 [8 per cell]  2 Al 2.67, 2 In 2.82

version C has the most favorable energy; the next structure is 0.314 eV/atom above.